Compound: SmAsRuO
Source: Alexandria via LeMat-Bulk
Functional: PBE
Structure: optimized geometry

a b c (Å): 4.0973 4.0973 8.2604
angles (deg): 90.00 90.00 90.00
With the nearest neighbours (Å) after each atom.
Fractional positions:
Sm: 0.0000 0.5000 0.6345  4 O 2.33
Sm: 0.5000 0.0000 0.3655  4 O 2.33
As: 0.0000 0.5000 0.1606  4 Ru 2.44
As: 0.5000 0.0000 0.8394  4 Ru 2.44
Ru: 0.0000 0.0000 0.0000  4 As 2.44
Ru: 0.5000 0.5000 0.0000  4 As 2.44
O: 0.0000 0.0000 0.5000  4 Sm 2.33
O: 0.5000 0.5000 0.5000  4 Sm 2.33

theoretical density: 8.199 g cm⁻³
formation energy without anion corrections: -7.45 eV/f.u.
density of states at the Fermi level: 0.2809 states/eV/atom
total energy: -7.763 eV/atom